VASP calculation (PBE) on crystalline Cs2TbTmS4 at its relaxed geometry.

Lattice parameters (Å, degrees): 4.0775 4.0775 16.0718 90.00 90.00 120.00
Last column: nearest neighbours and their distance in Å.
Positions (direct):
1 Cs 0.3333 0.6667 0.2486  6 S 3.47-3.48
2 Cs 0.6667 0.3333 0.7514  6 S 3.47-3.48
3 S 0.6667 0.3333 0.0893  3 Tm 2.76
4 S 0.6667 0.3333 0.4075  3 Tb 2.78
5 S 0.3333 0.6667 0.5925  3 Tb 2.78
6 S 0.3333 0.6667 0.9107  3 Tm 2.76
7 Tb 0.0000 0.0000 0.5000  6 S 2.78
8 Tm 0.0000 0.0000 0.0000  6 S 2.76

Summary:
Total DFT energy (no corrections)   -41.97 eV/f.u.


VASP calculation (PBE) on crystalline Tm3Sc3Te2Os at its relaxed geometry.

Lattice parameters (Å, degrees): 8.0036 8.0036 3.9122 90.00 90.00 120.00
Last column: nearest neighbours and their distance in Å.
Positions (direct):
1 Os 0.0000 0.0000 0.5000  6 Tm 2.77, 3 Sc 3.09
2 Sc 0.6135 0.0000 0.5000  1 Os 3.09, 4 Te 3.16, 4 Tm 3.34
3 Sc 0.3865 0.3865 0.5000  1 Os 3.09, 4 Te 3.16, 4 Tm 3.34
4 Sc 0.0000 0.6135 0.5000  1 Os 3.09, 4 Te 3.16, 4 Tm 3.34
5 Te 0.6667 0.3333 0.0000  3 Tm 3.08, 6 Sc 3.16
6 Te 0.3333 0.6667 0.0000  3 Tm 3.08, 6 Sc 3.16
7 Tm 0.2449 0.0000 0.0000  2 Os 2.77, 2 Te 3.08
8 Tm 0.0000 0.2449 0.0000  2 Os 2.77, 2 Te 3.08
9 Tm 0.7551 0.7551 0.0000  2 Os 2.77, 2 Te 3.08

Summary:
Total DFT energy (no corrections)   -55.75 eV/f.u.


VASP calculation (PBE) on crystalline Gd4Bi2C at its relaxed geometry.

Lattice parameters (Å, degrees): 8.7862 8.7862 8.7862 147.56 147.56 46.54
Last column: nearest neighbours and their distance in Å.
Positions (direct):
1 Bi 0.3568 0.3568 0.0000  9 Gd 3.28-3.48
2 Bi 0.6432 0.6432 0.0000  9 Gd 3.28-3.48
3 C 0.0000 0.0000 0.0000  6 Gd 2.45-2.48
4 Gd 0.1539 0.1539 0.0000  1 C 2.48
5 Gd 0.8461 0.8461 0.0000  1 C 2.48
6 Gd 0.5000 0.0000 0.5000  2 C 2.45
7 Gd 0.0000 0.5000 0.5000  2 C 2.45

Summary:
Total DFT energy (no corrections)   -40.47 eV/f.u.


VASP calculation (PBE) on crystalline BaAlZnGa2 at its relaxed geometry.

Lattice parameters (Å, degrees): 6.4155 6.4155 6.4155 138.89 138.89 59.54
Last column: nearest neighbours and their distance in Å.
Positions (direct):
1 Al 0.2500 0.7500 0.5000  4 Ga 2.67
2 Ba 0.0000 0.0000 0.0000  8 Ga 3.46, 4 Al 3.58, 4 Zn 3.58
3 Ga 0.3796 0.3796 0.0000  2 Zn 2.67, 2 Al 2.67, 1 Ga 2.68
4 Ga 0.6204 0.6204 0.0000  2 Al 2.67, 2 Zn 2.67, 1 Ga 2.68
5 Zn 0.7500 0.2500 0.5000  4 Ga 2.67

Summary:
Total DFT energy (no corrections)   -14.81 eV/f.u.


VASP calculation (PBE) on crystalline Sc2TcPd at its relaxed geometry.

Lattice parameters (Å, degrees): 6.4946 4.6058 9.2065 90.00 90.00 90.00
Last column: nearest neighbours and their distance in Å.
Positions (direct):
1 Pd 0.2503 0.2500 0.1250  8 Sc 2.82
2 Pd 0.7503 0.7500 0.3750  8 Sc 2.82
3 Pd 0.2497 0.2500 0.6250  8 Sc 2.82
4 Pd 0.7497 0.7500 0.8750  8 Sc 2.82
5 Sc 0.0003 0.7500 0.1249  4 Tc 2.81-2.82, 4 Pd 2.82
6 Sc 0.5002 0.7500 0.1250  4 Pd 2.82, 4 Tc 2.82
7 Sc 0.0002 0.2500 0.3750  4 Pd 2.82, 4 Tc 2.82
8 Sc 0.5003 0.2500 0.3751  4 Tc 2.81-2.82, 4 Pd 2.82
9 Sc 0.4997 0.7500 0.6249  4 Tc 2.81-2.82, 4 Pd 2.82
10 Sc 0.9998 0.7500 0.6250  4 Pd 2.82, 4 Tc 2.82
11 Sc 0.4998 0.2500 0.8750  4 Pd 2.82, 4 Tc 2.82
12 Sc 0.9997 0.2500 0.8751  4 Tc 2.81-2.82, 4 Pd 2.82
13 Tc 0.7501 0.2500 0.1250  8 Sc 2.81-2.82
14 Tc 0.2501 0.7500 0.3750  8 Sc 2.81-2.82
15 Tc 0.7499 0.2500 0.6250  8 Sc 2.81-2.82
16 Tc 0.2499 0.7500 0.8750  8 Sc 2.81-2.82

Summary:
Offset from the most stable computed form   38 meV/atom
Calculated formation energy   -0.547 eV/atom


VASP calculation (PBE) on crystalline NdMg2Cd at its relaxed geometry.

Lattice parameters (Å, degrees): 4.1601 4.9289 4.9290 90.00 90.00 90.00
Last column: nearest neighbours and their distance in Å.
Positions (direct):
1 Cd 0.0000 0.0000 0.7484  8 Mg 3.22-3.23, 4 Nd 3.47-3.50
2 Mg 0.5000 0.0000 0.2474  4 Cd 3.22-3.23, 4 Nd 3.22, 4 Mg 3.47-3.50
3 Mg 0.5000 0.5000 0.7524  4 Nd 3.22-3.23, 4 Cd 3.22, 4 Mg 3.47-3.50
4 Nd 0.0000 0.5000 0.2517  8 Mg 3.22-3.23, 4 Cd 3.47-3.50

Summary:
Offset from the most stable computed form   111 meV/atom


| no. | calculated volume (Å³ per atom) |
| --- | --- |
| 1 | 28.927 |
| 2 | 24.115 |
| 3 | 27.787 |
| 4 | 22.601 |
| 5 | 17.212 |
| 6 | 25.267 |